Below is a relaxed Sr2LaCd2 crystal, with properties calculated at the PBE level.

formation enthalpy at 0 K	-0.23	eV per atom
offset from the most stable computed form	0.0	meV/atom
magnetic moment	0.22	μB/f.u.

CIF file:
```
data_Sr2LaCd2
_chemical_formula_sum 'Sr4 La2 Cd4'
_symmetry_space_group_name_H-M 'C m m m'
_symmetry_Int_Tables_number 65
_symmetry_space_group_name_Hall '-C 2 2'
_cell_length_a 4.036
_cell_length_b 23.330
_cell_length_c 3.926
_cell_angle_alpha 90.00
_cell_angle_beta 90.00
_cell_angle_gamma 90.00
loop_
_atom_site_label
_atom_site_type_symbol
_atom_site_fract_x
_atom_site_fract_y
_atom_site_fract_z
Sr1 Sr 0.000 0.170 0.000
La1 La 0.000 0.000 0.000
Cd1 Cd 0.000 0.418 0.500
```